The following is a PBE calculation of an optimized crystal structure of KC2N2, from Alexandria via LeMat-Bulk.

- ΔE_f (raw) (eV/f.u.) = 5.14
- E (eV/atom) = -6.211
- total magnetization (μB per formula unit) = 0.000
- space-group type = I4/mcm (140)

POSCAR file:
```
KC2N2
1.0
4.7807 0.0000 0.0000
0.0000 4.7807 0.0000
-2.3903 -2.3903 7.5056
K C N
2 4 4
Direct
0.7500 0.7500 0.5000
0.2500 0.2500 0.5000
0.8538 0.3538 0.0000
0.1462 0.6462 0.0000
0.6462 0.8538 0.0000
0.3538 0.1462 0.0000
0.3510 0.8510 0.0000
0.6490 0.1490 0.0000
0.1490 0.3510 0.0000
0.8510 0.6490 0.0000
```